1.
{
  "formula": "Pr3Nd2ThSe6",
  "functional": "GGA-PBE",
  "state": "optimized geometry",
  "formation_energy_uncorrected_mev_per_atom": -1785,
  "sg": "No. 12",
  "lattice": [[-2.113, -3.660, 0.335], [7.346, -4.140, 1.104], [-1.415, 4.046, 8.445]],
  "species": ["Se", "Se", "Se", "Se", "Se", "Se", "Nd", "Nd", "Pr", "Pr", "Pr", "Th"],
  "fractional_positions": [[0.332, 0.419, 0.664], [0.000, 0.248, 0.000], [0.000, 0.752, 0.000], [0.668, 0.581, 0.336], [0.666, 0.085, 0.332], [0.334, 0.915, 0.668], [0.834, 0.669, 0.668], [0.166, 0.331, 0.332], [0.500, 0.500, 0.000], [0.833, 0.166, 0.666], [0.167, 0.834, 0.334], [0.500, 0.000, 0.000]]
}

=====

2.
{
  "formula": "KGeCl2",
  "functional": "GGA-PBE",
  "state": "optimized geometry",
  "e_above_lowest_polymorph_mev_per_atom": 261,
  "formation_energy_uncorrected_mev_per_atom": -629,
  "sg": "No. 166",
  "lattice": [[-3.181, -0.972, 2.893], [0.852, -2.678, 3.396], [1.466, 5.477, 6.811]],
  "species": ["K", "Cl", "Cl", "Ge"],
  "fractional_positions": [[0.000, 0.000, 0.000], [0.882, 0.882, 0.353], [0.118, 0.118, 0.647], [0.500, 0.500, 0.500]]
}

=====

3.
{
  "formula": "AlRuPb2",
  "functional": "GGA-PBE",
  "state": "optimized geometry",
  "sg": "No. 65",
  "formation_enthalpy_0k_ev_per_atom": 0.530,
  "lattice": [[-0.086, -4.642, -1.866], [2.987, -0.325, 4.001], [-2.772, -0.756, 2.008]],
  "species": ["Ru", "Pb", "Pb", "Al"],
  "fractional_positions": [[0.500, 0.000, 0.500], [0.500, 0.500, 0.000], [0.000, 0.000, 0.000], [0.000, 0.500, 0.500]]
}

=====

4.
{
  "formula": "Ca2BeCu3Ge4",
  "functional": "GGA-PBE",
  "state": "optimized geometry",
  "sg": "No. 115",
  "formation_enthalpy_0k_ev_per_atom": -0.325,
  "lattice": [[4.078, 0.000, 0.000], [0.000, 4.078, 0.000], [0.000, 0.000, 10.443]],
  "species": ["Ca", "Ca", "Cu", "Cu", "Cu", "Ge", "Ge", "Ge", "Ge", "Be"],
  "fractional_positions": [[0.000, 0.500, 0.741], [0.500, 0.000, 0.259], [0.000, 0.500, 0.140], [0.500, 0.000, 0.860], [0.000, 0.000, 0.500], [0.000, 0.000, 0.000], [0.000, 0.500, 0.371], [0.500, 0.500, 0.000], [0.500, 0.000, 0.629], [0.500, 0.500, 0.500]]
}

=====

5.
{
  "formula": "Be2SbPt",
  "functional": "GGA-PBE",
  "state": "optimized geometry",
  "formation_energy_uncorrected_mev_per_atom": 206,
  "sg": "No. 122",
  "lattice": [[-4.742, -2.161, -2.041], [2.428, -0.598, -5.007], [0.344, -5.867, -2.260]],
  "species": ["Be", "Be", "Be", "Be", "Sb", "Sb", "Pt", "Pt"],
  "fractional_positions": [[0.076, 0.625, 0.250], [0.674, 0.125, 0.250], [0.875, 0.924, 0.750], [0.375, 0.326, 0.750], [0.500, 0.500, 0.000], [0.250, 0.750, 0.500], [0.750, 0.250, 0.500], [0.000, 0.000, 0.000]]
}

=====

6.
{
  "formula": "BaFeOs2",
  "functional": "GGA-PBE",
  "state": "optimized geometry",
  "e_above_lowest_polymorph_mev_per_atom": 0,
  "sg": "No. 160",
  "formation_enthalpy_0k_ev_per_atom": 0.338,
  "lattice": [[4.321, 0.003, -0.004], [2.158, 3.744, -0.004], [2.164, 1.252, 5.893]],
  "species": ["Ba", "Os", "Os", "Fe"],
  "fractional_positions": [[0.499, 0.499, 0.505], [0.009, 0.009, 0.972], [0.684, 0.684, 0.949], [0.309, 0.309, 0.074]]
}

=====

7.
{
  "formula": "LaInP2S",
  "functional": "GGA-PBE",
  "state": "optimized geometry",
  "e_above_lowest_polymorph_mev_per_atom": 436,
  "formation_energy_uncorrected_mev_per_atom": 301,
  "sg": "No. 123",
  "lattice": [[5.925, 0.000, 0.000], [0.000, 5.925, 0.000], [0.000, 0.000, 5.547]],
  "species": ["In", "P", "P", "S", "La"],
  "fractional_positions": [[0.500, 0.500, 0.500], [0.500, 0.000, 0.000], [0.000, 0.500, 0.000], [0.000, 0.000, 0.500], [0.000, 0.000, 0.000]]
}

=====

8.
{
  "formula": "Sr2NiHgC",
  "functional": "GGA-PBE",
  "state": "optimized geometry",
  "sg": "No. 123",
  "formation_enthalpy_0k_ev_per_atom": -0.137,
  "lattice": [[-4.265, 3.326, 1.408], [-3.056, -4.484, 1.337], [1.272, 0.165, 3.463]],
  "species": ["Hg", "C", "Sr", "Sr", "Ni"],
  "fractional_positions": [[0.500, 0.500, 0.500], [0.000, 0.000, 0.000], [0.000, 0.500, 0.000], [0.500, 0.000, 0.000], [0.000, 0.000, 0.500]]
}

=====

9.
{
  "formula": "Ti3InGe",
  "functional": "GGA-PBE",
  "state": "optimized geometry",
  "e_above_lowest_polymorph_mev_per_atom": 0,
  "sg": "No. 1",
  "formation_enthalpy_0k_ev_per_atom": -0.205,
  "lattice": [[-4.804, -3.219, 1.202], [-1.169, -3.215, -4.204], [2.047, -4.746, 3.373]],
  "species": ["Ge", "Ge", "In", "In", "Ti", "Ti", "Ti", "Ti", "Ti", "Ti"],
  "fractional_positions": [[0.793, 0.963, 0.169], [0.918, 0.166, 0.583], [0.673, 0.755, 0.791], [0.575, 0.560, 0.373], [0.407, 0.148, 0.560], [0.162, 0.787, 0.801], [0.496, 0.340, 0.969], [0.014, 0.362, 0.959], [0.075, 0.584, 0.371], [0.271, 0.986, 0.184]]
}

=====

10.
{
  "formula": "Tl2SeF",
  "functional": "GGA-PBE",
  "state": "optimized geometry",
  "e_above_lowest_polymorph_mev_per_atom": 198,
  "formation_energy_uncorrected_mev_per_atom": -787,
  "sg": "No. 123",
  "lattice": [[3.740, 0.000, 0.000], [0.000, 5.059, 0.000], [0.000, 0.000, 5.059]],
  "species": ["Tl", "Tl", "F", "Se"],
  "fractional_positions": [[0.000, 0.500, 0.000], [0.000, 0.000, 0.500], [0.500, 0.000, 0.000], [0.500, 0.500, 0.500]]
}

=====

11.
{
  "formula": "TbHoSc2",
  "functional": "GGA-PBE",
  "state": "optimized geometry",
  "e_above_lowest_polymorph_mev_per_atom": 1,
  "sg": "No. 123",
  "formation_enthalpy_0k_ev_per_atom": 0.051,
  "lattice": [[4.668, 0.000, 0.000], [0.000, 4.882, 0.000], [0.000, 0.000, 4.882]],
  "species": ["Sc", "Sc", "Tb", "Ho"],
  "fractional_positions": [[0.000, 0.000, 0.500], [0.000, 0.500, 0.000], [0.500, 0.500, 0.500], [0.500, 0.000, 0.000]]
}

=====

12.
{
  "formula": "BaLiCo2",
  "functional": "GGA-PBE",
  "state": "optimized geometry",
  "e_above_lowest_polymorph_mev_per_atom": 69,
  "sg": "No. 166",
  "formation_enthalpy_0k_ev_per_atom": 0.325,
  "lattice": [[6.051, -0.921, -0.546], [5.215, 3.205, -0.546], [5.215, 1.057, 3.075]],
  "species": ["Li", "Co", "Co", "Ba"],
  "fractional_positions": [[0.250, 0.250, 0.250], [0.571, 0.571, 0.571], [0.929, 0.929, 0.929], [0.750, 0.750, 0.750]]
}

=====

13.
{
  "formula": "Li2Ga6Pt",
  "functional": "GGA-PBE",
  "state": "optimized geometry",
  "sg": "No. 164",
  "formation_enthalpy_0k_ev_per_atom": -0.315,
  "lattice": [[-0.586, 6.186, -0.380], [-4.178, -0.609, -3.453], [-5.094, -0.365, 1.917]],
  "species": ["Ga", "Ga", "Ga", "Ga", "Ga", "Ga", "Li", "Li", "Pt"],
  "fractional_positions": [[0.676, 0.170, 0.170], [0.324, 0.830, 0.341], [0.676, 0.170, 0.659], [0.676, 0.659, 0.170], [0.324, 0.341, 0.830], [0.324, 0.830, 0.830], [0.930, 0.666, 0.666], [0.070, 0.334, 0.334], [0.000, 0.000, 0.000]]
}

=====

14.
{
  "formula": "InP2ClO",
  "functional": "GGA-PBE",
  "state": "optimized geometry",
  "e_above_lowest_polymorph_mev_per_atom": 0,
  "formation_energy_uncorrected_mev_per_atom": 159,
  "sg": "No. 123",
  "lattice": [[3.980, 0.000, 0.000], [0.000, 3.980, 0.000], [0.000, 0.000, 6.227]],
  "species": ["Cl", "O", "P", "P", "In"],
  "fractional_positions": [[0.000, 0.000, 0.500], [0.000, 0.000, 0.000], [0.000, 0.500, 0.000], [0.500, 0.000, 0.000], [0.500, 0.500, 0.500]]
}

=====

15.
{
  "formula": "EuAl2Ge2",
  "functional": "GGA-PBE",
  "state": "optimized geometry",
  "sg": "No. 164",
  "formation_enthalpy_0k_ev_per_atom": -0.430,
  "lattice": [[-2.107, 2.502, 2.720], [-2.077, -1.894, -3.193], [-1.294, -5.653, 4.196]],
  "species": ["Al", "Al", "Ge", "Ge", "Eu"],
  "fractional_positions": [[0.333, 0.667, 0.631], [0.667, 0.333, 0.369], [0.667, 0.333, 0.736], [0.333, 0.667, 0.264], [0.000, 0.000, 0.000]]
}

=====

16.
{
  "formula": "RbNaPO4",
  "functional": "GGA-PBE",
  "state": "optimized geometry",
  "formation_energy_uncorrected_mev_per_atom": -1962,
  "sg": "No. 82",
  "lattice": [[-5.469, -2.325, -0.096], [0.463, -0.846, -5.865], [4.136, -2.284, 3.668]],
  "species": ["O", "O", "O", "O", "P", "Na", "Rb"],
  "fractional_positions": [[0.451, 0.668, 0.714], [0.332, 0.738, 0.286], [0.954, 0.549, 0.286], [0.262, 0.046, 0.714], [0.250, 0.750, 0.500], [0.500, 0.500, 0.000], [0.000, 0.000, 0.000]]
}

=====

17.
{
  "formula": "LiZnHgBi",
  "functional": "GGA-PBE",
  "state": "optimized geometry",
  "sg": "No. 216",
  "formation_enthalpy_0k_ev_per_atom": -0.127,
  "lattice": [[-0.004, -4.982, -0.200], [2.988, -2.618, 3.013], [-1.943, -2.644, 3.754]],
  "species": ["Bi", "Zn", "Li", "Hg"],
  "fractional_positions": [[0.250, 0.250, 0.250], [0.000, 0.000, 0.000], [0.500, 0.500, 0.500], [0.750, 0.750, 0.750]]
}

=====

18.
{
  "formula": "MgZn7Pd4",
  "functional": "GGA-PBE",
  "state": "optimized geometry",
  "sg": "No. 12",
  "formation_enthalpy_0k_ev_per_atom": -0.210,
  "lattice": [[-1.622, -3.920, 2.160], [0.911, -6.329, -5.556], [3.756, -2.863, 2.869]],
  "species": ["Zn", "Zn", "Zn", "Zn", "Zn", "Zn", "Zn", "Pd", "Pd", "Pd", "Pd", "Mg"],
  "fractional_positions": [[0.785, 0.909, 0.520], [0.966, 0.376, 0.692], [0.342, 0.546, 0.769], [0.215, 0.091, 0.480], [0.500, 0.000, 0.000], [0.034, 0.624, 0.308], [0.658, 0.454, 0.231], [0.403, 0.778, 0.416], [0.597, 0.222, 0.584], [0.274, 0.318, 0.133], [0.726, 0.682, 0.867], [0.000, 0.000, 0.000]]
}

=====

| no. | volume (Å³/cell) | DOS at the Fermi energy (states/eV/cell) |
| --- | --- | --- |
| 1 | 324 | 6.79 |
| 2 | 143 | 2.23 |
| 3 | 85 | 3.10 |
| 4 | 174 | 4.00 |
| 5 | 153 | 3.56 |
| 6 | 95 | 2.99 |
| 7 | 195 | 5.97 |
| 8 | 115 | 2.08 |
| 9 | 178 | 9.70 |
| 10 | 96 | 1.74 |
| 11 | 111 | 6.90 |
| 12 | 87 | 2.14 |
| 13 | 160 | 3.52 |
| 14 | 99 | 3.67 |
| 15 | 112 | 10.94 |
| 16 | 150 | 9.11 |
| 17 | 88 | 1.11 |
| 18 | 193 | 4.16 |